Tl5PdAu | PBE | optimized geometry

Cell: 7.1163 3.5185 15.0582 Å, 90.00 96.28 90.00°
Space group P2_1/m (No. 11)
One atom of each set of equivalent atoms:
Tl1 0.0806 0.2500 0.1959 [2 per cell]
Tl2 0.1848 0.7500 0.5519 [2 per cell]
Tl3 0.2257 0.7500 0.9838 [2 per cell]
Tl4 0.3308 0.2500 0.7563 [2 per cell]
Tl5 0.3708 0.2500 0.3855 [2 per cell]
Pd1 0.0393 0.7500 0.3495 [2 per cell]
Au1 0.4386 0.2500 0.1185 [2 per cell]

Results
ΔH_f (0 K), eV/atom: -0.036
Electronic total energy, eV/atom: -2.94
Total magnetization, μB/atom: 0.000
DOS at the Fermi energy, states/eV/atom: 0.38